(1)
Computed, not measured: a geometry-optimized AgPb2Cl structure at the PBE level of DFT.

The calculation puts the raw formation energy at -3.91 kcal/mol of atoms. As for the total energy: -3.20 eV per atom.

Cell lengths 3.495, 3.495, 8.579 Å; angles 90.00, 90.00, 90.00 degrees
Fractional coordinates of all 4 atoms:
Ag (0.000, 0.000, 0.000)
Pb (0.000, 0.000, 0.475)
Pb (0.500, 0.500, 0.763)
Cl (0.500, 0.500, 0.176)

***

(2)
Computed, not measured: a geometry-optimized NiTePd structure at the PBE level of DFT.

The calculation puts the raw formation energy at -4.02 kcal/mol of atoms. The energy above the most stable polymorph in this dataset is 79 meV/atom. As for the total energy: -4.88 eV per atom.

Cell lengths 3.911, 4.520, 6.124 Å; angles 91.15, 90.66, 102.26 degrees
Fractional coordinates of all 6 atoms:
Ni (0.200, 0.286, 0.032)
Ni (0.800, 0.714, 0.968)
Te (0.316, 0.809, 0.235)
Te (0.684, 0.191, 0.765)
Pd (0.274, 0.621, 0.654)
Pd (0.726, 0.379, 0.346)

***

(3)
Computed, not measured: a geometry-optimized La3RhPbCl structure at the PBE level of DFT.

The calculation puts the raw formation energy at -21.44 kcal/mol of atoms. As for the total energy: -5.54 eV per atom.

Cell lengths 7.910, 4.694, 10.066 Å; angles 90.00, 109.12, 90.00 degrees
Fractional coordinates of all 12 atoms:
La (0.032, 0.250, 0.357)
La (0.218, 0.250, 0.973)
La (0.425, 0.750, 0.614)
La (0.575, 0.250, 0.386)
La (0.782, 0.750, 0.027)
La (0.968, 0.750, 0.643)
Rh (0.218, 0.250, 0.633)
Rh (0.782, 0.750, 0.367)
Pb (0.240, 0.750, 0.226)
Pb (0.760, 0.250, 0.774)
Cl (0.376, 0.750, 0.891)
Cl (0.624, 0.250, 0.109)

***

(4)
Computed, not measured: a geometry-optimized Ta2Fe structure at the PBE level of DFT.

The energy of formation is 0.025 eV per formula unit. As for the total energy: -10.71 eV per atom.

Cell lengths 5.339, 4.380, 8.039 Å; angles 90.00, 90.00, 90.00 degrees
Fractional coordinates of all 12 atoms:
Ta (0.020, 0.250, 0.236)
Ta (0.174, 0.250, 0.587)
Ta (0.326, 0.750, 0.087)
Ta (0.480, 0.750, 0.736)
Ta (0.520, 0.250, 0.264)
Ta (0.674, 0.250, 0.913)
Ta (0.826, 0.750, 0.413)
Ta (0.980, 0.750, 0.764)
Fe (0.182, 0.250, 0.932)
Fe (0.318, 0.750, 0.432)
Fe (0.682, 0.250, 0.568)
Fe (0.818, 0.750, 0.068)

***

(5)
Computed, not measured: a geometry-optimized TaCoP2 structure at the PBE level of DFT.

The energy above the most stable polymorph in this dataset is 403 meV/atom. The energy of formation is -0.429 eV per formula unit. As for the total energy: -7.55 eV per atom.

Cell lengths 2.800, 2.800, 7.898 Å; angles 90.00, 90.00, 90.00 degrees
Fractional coordinates of all 4 atoms:
Ta (0.000, 0.000, 0.000)
Co (0.500, 0.500, 0.239)
P (0.000, 0.000, 0.387)
P (0.500, 0.500, 0.763)

***

(6)
Computed, not measured: a geometry-optimized SrIn2As structure at the PBE level of DFT.

The energy of formation is -1.668 eV per formula unit. As for the total energy: -3.37 eV per atom.

Cell lengths 8.658, 8.658, 6.297 Å; angles 90.00, 90.00, 90.00 degrees
Fractional coordinates of all 16 atoms:
Sr (0.000, 0.000, 0.000)
Sr (0.000, 0.500, 0.250)
Sr (0.500, 0.000, 0.750)
Sr (0.500, 0.500, 0.500)
In (0.197, 0.250, 0.625)
In (0.250, 0.697, 0.875)
In (0.250, 0.803, 0.375)
In (0.303, 0.250, 0.125)
In (0.697, 0.750, 0.125)
In (0.750, 0.197, 0.375)
In (0.750, 0.303, 0.875)
In (0.803, 0.750, 0.625)
As (0.000, 0.000, 0.500)
As (0.000, 0.500, 0.750)
As (0.500, 0.000, 0.250)
As (0.500, 0.500, 0.000)

***

(7)
Computed, not measured: a geometry-optimized Cd2AgIr structure at the PBE level of DFT.

The energy of formation is 0.756 eV per formula unit. As for the total energy: -3.20 eV per atom.

Cell lengths 9.340, 3.038, 5.221 Å; angles 90.00, 100.85, 90.00 degrees
Fractional coordinates of all 8 atoms:
Cd (0.245, 0.000, 0.241)
Cd (0.255, 0.500, 0.759)
Cd (0.745, 0.500, 0.241)
Cd (0.755, 0.000, 0.759)
Ag (0.000, 0.000, 0.500)
Ag (0.500, 0.500, 0.500)
Ir (0.000, 0.500, 0.000)
Ir (0.500, 0.000, 0.000)

***

(8)
Computed, not measured: a geometry-optimized LaTa3Co structure at the PBE level of DFT.

The energy above the most stable polymorph in this dataset is 2000 meV/atom. The energy of formation is 13.083 eV per formula unit. As for the total energy: -6.90 eV per atom.

Cell lengths 4.843, 4.843, 4.843 Å; angles 90.00, 90.00, 90.00 degrees
Fractional coordinates of all 5 atoms:
La (0.000, 0.000, 0.000)
Ta (0.000, 0.000, 0.500)
Ta (0.000, 0.500, 0.000)
Ta (0.500, 0.000, 0.000)
Co (0.500, 0.500, 0.500)

***

(9)
Computed, not measured: a geometry-optimized Li2La2Al structure at the PBE level of DFT.

The energy above the most stable polymorph in this dataset is 23 meV/atom. The energy of formation is -0.171 eV per formula unit. As for the total energy: -3.52 eV per atom.

Cell lengths 3.651, 3.651, 20.391 Å; angles 90.00, 90.00, 90.00 degrees
Fractional coordinates of all 10 atoms:
Li (0.000, 0.500, 0.250)
Li (0.000, 0.500, 0.750)
Li (0.500, 0.000, 0.250)
Li (0.500, 0.000, 0.750)
La (0.000, 0.000, 0.097)
La (0.000, 0.000, 0.903)
La (0.500, 0.500, 0.403)
La (0.500, 0.500, 0.597)
Al (0.000, 0.000, 0.500)
Al (0.500, 0.500, 0.000)

***

(10)
Computed, not measured: a geometry-optimized LiAcIrRh structure at the PBE level of DFT.

The energy of formation is -0.712 eV per formula unit. As for the total energy: -5.74 eV per atom.

Cell lengths 6.749, 6.749, 6.749 Å; angles 90.00, 90.00, 90.00 degrees
Fractional coordinates of all 16 atoms:
Li (0.000, 0.000, 0.000)
Li (0.000, 0.500, 0.500)
Li (0.500, 0.000, 0.500)
Li (0.500, 0.500, 0.000)
Ac (0.000, 0.000, 0.500)
Ac (0.000, 0.500, 0.000)
Ac (0.500, 0.000, 0.000)
Ac (0.500, 0.500, 0.500)
Ir (0.250, 0.250, 0.750)
Ir (0.250, 0.750, 0.250)
Ir (0.750, 0.250, 0.250)
Ir (0.750, 0.750, 0.750)
Rh (0.250, 0.250, 0.250)
Rh (0.250, 0.750, 0.750)
Rh (0.750, 0.250, 0.750)
Rh (0.750, 0.750, 0.250)

***

(11)
Computed, not measured: a geometry-optimized BaNa2LiAg structure at the PBE level of DFT.

The energy above the most stable polymorph in this dataset is 0 meV/atom. The energy of formation is 0.218 eV per formula unit. As for the total energy: -1.82 eV per atom.

Cell lengths 5.523, 5.523, 5.348 Å; angles 90.00, 90.00, 90.00 degrees
Fractional coordinates of all 5 atoms:
Ba (0.000, 0.000, 0.000)
Na (0.000, 0.500, 0.500)
Na (0.500, 0.000, 0.500)
Li (0.500, 0.500, 0.500)
Ag (0.500, 0.500, 0.000)

***

(12)
Computed, not measured: a geometry-optimized AcNp2CdO8 structure at the PBE level of DFT.

The calculation puts the raw formation energy at -59.38 kcal/mol of atoms. As for the total energy: -8.46 eV per atom.

Cell lengths 6.603, 6.603, 6.603 Å; angles 130.31, 130.31, 72.91 degrees
Fractional coordinates of all 12 atoms:
Ac (0.000, 0.000, 0.000)
Np (0.500, 0.500, 0.000)
Np (0.750, 0.250, 0.500)
Cd (0.250, 0.750, 0.500)
O (0.127, 0.154, 0.537)
O (0.128, 0.590, 0.970)
O (0.409, 0.873, 0.027)
O (0.410, 0.380, 0.537)
O (0.618, 0.591, 0.463)
O (0.620, 0.158, 0.030)
O (0.842, 0.872, 0.463)
O (0.846, 0.382, 0.973)